[1]
Tm2Zn3Pt: optimized geometry, GGA-PBE. Values from VASP.

Results
- Theoretical density: 10.26 g/cm³
- Formation energy: -651 meV/atom
- Total DFT energy (no corrections): -3.79 eV/atom
- Space-group type: No. 25

Quantum ESPRESSO input file:
```
&SYSTEM
  ibrav = 0, nat = 6, ntyp = 3
/
ATOMIC_SPECIES
Tm 168.93 Tm.upf
Zn 65.41 Zn.upf
Pt 195.08 Pt.upf
ATOMIC_POSITIONS angstrom
Tm 0.000 0.000 0.000
Tm 0.000 2.208 3.468
Zn 1.747 0.000 4.981
Zn 1.747 2.208 1.000
Zn 1.747 2.208 6.149
Pt 1.747 0.000 2.377
CELL_PARAMETERS angstrom
3.495 0.000 0.000
0.000 4.416 0.000
0.000 0.000 7.646
```

***

[2]
NbFe3Ir: optimized geometry, GGA-PBE. Values from VASP.

Results
- Theoretical density: 8.89 g/cm³
- Formation energy: 1672 meV/atom
- Total DFT energy (no corrections): -7.19 eV/atom
- Space-group type: No. 221

Quantum ESPRESSO input file:
```
&SYSTEM
  ibrav = 0, nat = 5, ntyp = 3
/
ATOMIC_SPECIES
Nb 92.91 Nb.upf
Fe 55.84 Fe.upf
Ir 192.22 Ir.upf
ATOMIC_POSITIONS angstrom
Nb 0.000 0.000 0.000
Fe 0.000 0.000 2.194
Fe 0.000 2.194 0.000
Fe 2.194 0.000 0.000
Ir 2.194 2.194 2.194
CELL_PARAMETERS angstrom
4.389 0.000 0.000
0.000 4.389 0.000
0.000 0.000 4.389
```

***

[3]
Rb2VNiPd: optimized geometry, GGA-PBE. Values from VASP.

Results
- Theoretical density: 3.60 g/cm³
- Formation energy: 1080 meV/atom
- Total DFT energy (no corrections): -3.33 eV/atom
- Space-group type: No. 123

Quantum ESPRESSO input file:
```
&SYSTEM
  ibrav = 0, nat = 5, ntyp = 4
/
ATOMIC_SPECIES
Rb 85.47 Rb.upf
V 50.94 V.upf
Ni 58.69 Ni.upf
Pd 106.42 Pd.upf
ATOMIC_POSITIONS angstrom
Rb 0.000 3.149 0.000
Rb 3.149 0.000 0.000
V 0.000 0.000 2.248
Ni 0.000 0.000 0.000
Pd 3.149 3.149 2.248
CELL_PARAMETERS angstrom
6.299 0.000 0.000
0.000 6.299 0.000
0.000 0.000 4.495
```

***

[4]
Mg7Ga2Sn2: optimized geometry, GGA-PBE. Values from VASP.

Results
- Theoretical density: 3.47 g/cm³
- Formation energy: -79 meV/atom
- Total DFT energy (no corrections): -2.37 eV/atom
- Space-group type: No. 65

Quantum ESPRESSO input file:
```
&SYSTEM
  ibrav = 0, nat = 11, ntyp = 3
/
ATOMIC_SPECIES
Mg 24.30 Mg.upf
Ga 69.72 Ga.upf
Sn 118.71 Sn.upf
ATOMIC_POSITIONS angstrom
Mg 0.000 0.000 0.000
Mg 1.711 2.528 2.175
Mg 1.711 2.528 5.400
Mg 1.711 -2.528 2.175
Mg 1.711 -2.528 5.400
Mg 3.421 0.000 1.526
Mg 3.421 0.000 6.049
Ga 3.421 2.332 0.000
Ga 3.421 -2.332 0.000
Sn 1.472 0.000 3.788
Sn 5.370 0.000 3.788
CELL_PARAMETERS angstrom
3.421 -5.056 0.000
3.421 5.056 0.000
0.000 0.000 7.576
```

***

[5]
Fe3NiPd: optimized geometry, GGA-PBE. Values from VASP.

Results
- Theoretical density: 8.71 g/cm³
- Formation energy: 73 meV/atom
- Total DFT energy (no corrections): -7.20 eV/atom
- Space-group type: No. 15

Quantum ESPRESSO input file:
```
&SYSTEM
  ibrav = 0, nat = 20, ntyp = 3
/
ATOMIC_SPECIES
Fe 55.84 Fe.upf
Ni 58.69 Ni.upf
Pd 106.42 Pd.upf
ATOMIC_POSITIONS angstrom
Fe 3.138 3.026 4.603
Fe 3.120 1.780 1.779
Fe 2.513 0.661 4.016
Fe 6.422 3.026 2.342
Fe 3.029 -0.661 1.701
Fe 2.605 -1.780 4.094
Fe 7.471 1.780 0.537
Fe 7.047 0.661 2.930
Fe 3.654 -3.026 2.288
Fe 7.563 -0.661 0.615
Fe 6.956 -1.780 2.852
Fe 6.938 -3.026 0.027
Ni 4.780 1.646 3.473
Ni 5.296 0.763 1.158
Ni 4.780 -0.763 3.473
Ni 5.296 -1.646 1.158
Pd 0.623 0.762 2.216
Pd 0.108 -0.762 4.531
Pd 9.968 0.762 0.099
Pd 9.453 -0.762 2.414
CELL_PARAMETERS angstrom
5.554 -4.933 0.000
5.554 4.933 0.000
-1.031 0.000 4.630
```

***

[6]
Sc2Se: optimized geometry, GGA-PBE. Values from VASP.

Results
- Theoretical density: 4.47 g/cm³
- Total DFT energy (no corrections): -6.27 eV/atom
- Space-group type: No. 139

Quantum ESPRESSO input file:
```
&SYSTEM
  ibrav = 0, nat = 6, ntyp = 2
/
ATOMIC_SPECIES
Sc 44.96 Sc.upf
Se 78.96 Se.upf
ATOMIC_POSITIONS angstrom
Sc 0.000 0.000 1.618
Sc 0.000 0.000 8.884
Sc 1.727 1.727 3.633
Sc 1.727 1.727 6.869
Se 0.000 0.000 5.251
Se 1.727 1.727 0.000
CELL_PARAMETERS angstrom
3.455 0.000 0.000
0.000 3.455 0.000
0.000 0.000 10.502
```

***

[7]
Eu2HfSnO6: optimized geometry, GGA-PBE. Values from VASP.

Results
- Theoretical density: 8.29 g/cm³
- Total DFT energy (no corrections): -9.15 eV/atom
- Space-group type: No. 225

Quantum ESPRESSO input file:
```
&SYSTEM
  ibrav = 0, nat = 10, ntyp = 4
/
ATOMIC_SPECIES
Eu 151.96 Eu.upf
Hf 178.49 Hf.upf
Sn 118.71 Sn.upf
O 16.00 O.upf
ATOMIC_POSITIONS angstrom
Eu 2.059 2.059 2.059
Eu 6.177 6.177 6.177
Hf 0.000 0.000 0.000
Sn 4.118 4.118 4.118
O 4.118 4.118 2.060
O 4.118 2.060 4.118
O 6.176 4.118 4.118
O 2.060 4.118 4.118
O 4.118 6.176 4.118
O 4.118 4.118 6.176
CELL_PARAMETERS angstrom
0.000 4.118 4.118
4.118 0.000 4.118
4.118 4.118 0.000
```

***

[8]
LiPrPu2Te4: optimized geometry, GGA-PBE. Values from VASP.

Results
- Theoretical density: 7.60 g/cm³
- Total DFT energy (no corrections): -7.14 eV/atom
- Space-group type: No. 10

Quantum ESPRESSO input file:
```
&SYSTEM
  ibrav = 0, nat = 8, ntyp = 4
/
ATOMIC_SPECIES
Li 6.94 Li.upf
Pr 140.91 Pr.upf
Pu 244.00 Pu.upf
Te 127.60 Te.upf
ATOMIC_POSITIONS angstrom
Li 0.000 0.000 0.000
Pr -1.312 2.227 3.648
Pu 2.542 0.000 3.648
Pu 3.855 2.227 0.000
Te 1.252 2.227 1.770
Te -0.053 0.000 5.535
Te 5.138 0.000 1.761
Te 3.833 2.227 5.526
CELL_PARAMETERS angstrom
7.710 0.000 0.000
0.000 4.454 0.000
-2.625 0.000 7.296
```

***

[9]
ScAgPt2: optimized geometry, GGA-PBE. Values from VASP.

Results
- Theoretical density: 13.03 g/cm³
- Formation energy: -360 meV/atom
- Total DFT energy (no corrections): -5.68 eV/atom
- Space-group type: No. 99

Quantum ESPRESSO input file:
```
&SYSTEM
  ibrav = 0, nat = 4, ntyp = 3
/
ATOMIC_SPECIES
Sc 44.96 Sc.upf
Ag 107.87 Ag.upf
Pt 195.08 Pt.upf
ATOMIC_POSITIONS angstrom
Sc 0.000 0.000 0.000
Ag 1.468 1.468 2.194
Pt 0.000 0.000 4.194
Pt 1.468 1.468 6.208
CELL_PARAMETERS angstrom
2.937 0.000 0.000
0.000 2.937 0.000
0.000 0.000 8.025
```

***

[10]
SbHPtI2: optimized geometry, GGA-PBE. Values from VASP.

Results
- Theoretical density: 8.50 g/cm³
- Total DFT energy (no corrections): -2.57 eV/atom
- Space-group type: No. 123

Quantum ESPRESSO input file:
```
&SYSTEM
  ibrav = 0, nat = 5, ntyp = 4
/
ATOMIC_SPECIES
Sb 121.76 Sb.upf
H 1.01 H.upf
Pt 195.08 Pt.upf
I 126.90 I.upf
ATOMIC_POSITIONS angstrom
Sb 0.000 0.000 0.000
H 0.000 0.000 1.927
Pt 2.692 2.692 0.000
I 0.000 2.692 1.927
I 2.692 0.000 1.927
CELL_PARAMETERS angstrom
5.383 0.000 0.000
0.000 5.383 0.000
0.000 0.000 3.854
```

***

[11]
Eu2ZnPt: optimized geometry, GGA-PBE. Values from VASP.

Results
- Theoretical density: 6.31 g/cm³
- Formation energy: -267 meV/atom
- Total DFT energy (no corrections): -7.23 eV/atom
- Space-group type: No. 166

Quantum ESPRESSO input file:
```
&SYSTEM
  ibrav = 0, nat = 12, ntyp = 3
/
ATOMIC_SPECIES
Eu 151.96 Eu.upf
Zn 65.41 Zn.upf
Pt 195.08 Pt.upf
ATOMIC_POSITIONS angstrom
Eu 0.000 0.000 3.294
Eu 0.000 0.000 26.276
Eu 0.000 2.408 16.419
Eu 0.000 2.408 23.008
Eu 2.086 1.204 6.562
Eu 2.086 1.204 13.151
Zn 0.000 0.000 0.000
Zn 0.000 2.408 19.713
Zn 2.086 1.204 9.857
Pt 0.000 0.000 14.785
Pt 0.000 2.408 4.928
Pt 2.086 1.204 24.642
CELL_PARAMETERS angstrom
4.171 0.000 0.000
-2.086 3.612 0.000
0.000 0.000 29.570
```

***

[12]
SmHo4Te5: optimized geometry, GGA-PBE. Values from VASP.

Results
- Theoretical density: 8.22 g/cm³
- Total DFT energy (no corrections): -5.15 eV/atom
- Space-group type: No. 12

Quantum ESPRESSO input file:
```
&SYSTEM
  ibrav = 0, nat = 10, ntyp = 3
/
ATOMIC_SPECIES
Sm 150.36 Sm.upf
Ho 164.93 Ho.upf
Te 127.60 Te.upf
ATOMIC_POSITIONS angstrom
Sm 0.000 0.000 0.000
Ho -1.244 0.000 7.413
Ho 2.639 0.000 5.610
Ho 6.593 0.000 3.658
Ho 10.476 0.000 1.855
Te -2.628 0.000 4.634
Te 1.329 0.000 2.842
Te 5.191 0.000 0.956
Te 4.042 0.000 8.312
Te 7.904 0.000 6.426
CELL_PARAMETERS angstrom
7.244 -2.178 0.000
7.244 2.178 0.000
-5.256 0.000 9.268
```